## Mg6InCu2 (PBE)

Data for a relaxed structure of Mg6InCu2.

Output
Its calculated formation energy is -0.087 eV per atom.

Lattice parameters (Å, degrees): 7.823 7.823 7.823 101.97 111.24 115.49
Fractional coordinates of all 18 atoms:
Mg: 0.522 0.812 0.710
Mg: 0.478 0.188 0.290
Mg: 0.102 0.812 0.290
Mg: 0.898 0.188 0.710
Mg: 0.794 0.044 0.249
Mg: 0.206 0.956 0.751
Mg: 0.206 0.455 0.249
Mg: 0.794 0.545 0.751
Mg: 0.694 0.330 0.024
Mg: 0.306 0.670 0.976
Mg: 0.306 0.330 0.635
Mg: 0.694 0.670 0.365
In: 0.000 0.500 0.500
In: 0.000 0.000 0.000
Cu: 0.500 0.125 0.625
Cu: 0.500 0.875 0.375
Cu: 0.662 0.662 0.000
Cu: 0.338 0.338 0.000